(P)
An optimized crystal structure of Na3Tl, computed with GGA-PBEsol.

## Properties
The magnetic moment comes out at 0.00 μB per cell.

a = 4.8919 Å, b = 4.8919 Å, c = 5.9216 Å
α = 114.40°, β = 114.40°, γ = 90.00°
Closest atoms and distances in Å follow each position.
Positions (direct):
Na1 0.2500 0.7500 0.5000  4 Tl 3.43, 8 Na 3.43-3.46
Na2 0.7500 0.2500 0.5000  4 Tl 3.43, 8 Na 3.43-3.46
Na3 0.5000 0.5000 0.0000  8 Na 3.43, 4 Tl 3.46
Tl1 0.0000 0.0000 0.0000  12 Na 3.43-3.46

---

(Q)
An optimized crystal structure of Na3Tl, computed with GGA-PBEsol.

## Properties
The magnetic moment comes out at 0.00 μB per cell.

a = 5.4605 Å, b = 5.4605 Å, c = 5.4605 Å
α = 60.00°, β = 60.00°, γ = 60.00°
Closest atoms and distances in Å follow each position.
Positions (direct):
Na1 0.2500 0.2500 0.2500  4 Tl 3.34, 4 Na 3.34
Na2 0.7500 0.7500 0.7500  4 Na 3.34, 4 Tl 3.34
Na3 0.5000 0.5000 0.5000  8 Na 3.34
Tl1 0.0000 0.0000 0.0000  8 Na 3.34

---

Short version: (Q) is the least stable of them.

---

(P)
An optimized crystal structure of Na3Tl, computed with GGA-PBEsol.

## Properties
The magnetic moment comes out at 0.00 μB per cell.

a = 4.8747 Å, b = 4.8747 Å, c = 4.8747 Å
α = 90.00°, β = 90.00°, γ = 90.00°
Closest atoms and distances in Å follow each position.
Positions (direct):
Na1 0.0000 0.5000 0.5000  8 Na 3.45, 4 Tl 3.45
Na2 0.5000 0.0000 0.5000  8 Na 3.45, 4 Tl 3.45
Na3 0.5000 0.5000 0.0000  4 Tl 3.45, 8 Na 3.45
Tl1 0.0000 0.0000 0.0000  12 Na 3.45

---

(Q)
An optimized crystal structure of Na3Tl, computed with GGA-PBEsol.

## Properties
The magnetic moment comes out at 0.00 μB per cell.

a = 5.7060 Å, b = 6.8821 Å, c = 6.8821 Å
α = 120.00°, β = 90.00°, γ = 90.00°
Closest atoms and distances in Å follow each position.
Positions (direct):
Na1 0.2500 0.6529 0.8265  8 Na 3.30-3.58, 4 Tl 3.43-3.44
Na2 0.2500 0.1735 0.3471  8 Na 3.30-3.58, 4 Tl 3.43-3.44
Na3 0.2500 0.1735 0.8265  8 Na 3.30-3.58, 4 Tl 3.43-3.44
Na4 0.7500 0.3471 0.1735  8 Na 3.30-3.58, 4 Tl 3.43-3.44
Na5 0.7500 0.8265 0.6529  8 Na 3.30-3.58, 4 Tl 3.43-3.44
Na6 0.7500 0.8265 0.1735  8 Na 3.30-3.58, 4 Tl 3.43-3.44
Tl1 0.7500 0.3333 0.6667  12 Na 3.43-3.44
Tl2 0.2500 0.6667 0.3333  12 Na 3.43-3.44

---

Short version: (P) is the least stable of them.